Density functional theory data (PBE-GGA) for a relaxed structure of Y2AgSe.

Calculated values
energy relative to the elements, uncorrected	-2.8	eV per formula unit
total energy	-5.53	eV/atom
SG	Immm, No. 71

The structure in POSCAR format:
```
Y2AgSe
1.0
-2.148 2.808 4.081
2.148 -2.808 4.081
2.148 2.808 -4.081
Y Ag Se
2 1 1
Cartesian
0.000 0.000 1.917
0.000 0.000 6.244
0.000 2.808 0.000
2.148 0.000 0.000
```